The following is a PBE calculation of a relaxed Tb4Al2ZnHg crystal, from Alexandria via LeMat-Bulk.

- formation energy (meV/atom) = -389
- total energy (eV/atom) = -3.837
- spin magnetization (μB/cell) = 0.0

```
Tb4Al2ZnHg
1.0
-4.4350 -0.9401 2.4697
-2.0007 -4.7592 -0.0085
2.1561 -3.7206 7.8515
Tb Al Zn Hg
4 2 1 1
direct
0.3778 0.3778 0.8667 Tb
0.8724 0.8724 0.3828 Tb
0.1276 0.1276 0.6172 Tb
0.6222 0.6222 0.1333 Tb
0.7500 0.7500 0.7500 Al
0.2500 0.2500 0.2500 Al
0.5000 0.5000 0.5000 Zn
0.0000 0.0000 0.0000 Hg
```